1.
ZnGaAg2Au | PBE | optimized geometry

```
data_ZnGaAg2Au
_chemical_formula_sum 'Zn2 Ga2 Ag4 Au2'
_cell_length_a 4.9810
_cell_length_b 4.8045
_cell_length_c 7.5066
_cell_angle_alpha 90.00
_cell_angle_beta 108.00
_cell_angle_gamma 90.00
_symmetry_space_group_name_H-M 'P 1'
_symmetry_Int_Tables_number 1
loop_
_symmetry_equiv_pos_as_xyz
'x,y,z'
loop_
_atom_site_label
_atom_site_type_symbol
_atom_site_fract_x
_atom_site_fract_y
_atom_site_fract_z
Zn1 Zn 0.0692 0.2500 0.3033
Zn2 Zn 0.9308 0.7500 0.6967
Ga1 Ga 0.4558 0.2500 0.1032
Ga2 Ga 0.5442 0.7500 0.8968
Ag1 Ag 0.2493 0.2500 0.6997
Ag2 Ag 0.3345 0.7500 0.5044
Ag3 Ag 0.6655 0.2500 0.4956
Ag4 Ag 0.7507 0.7500 0.3003
Au1 Au 0.1547 0.7500 0.0926
Au2 Au 0.8453 0.2500 0.9074
```

Results
formation energy = -0.08 eV/atom


2.
CaY2ZrCo | PBE | optimized geometry

```
data_CaY2ZrCo
_chemical_formula_sum 'Ca1 Y2 Zr1 Co1'
_cell_length_a 5.4152
_cell_length_b 5.4152
_cell_length_c 4.8651
_cell_angle_alpha 90.00
_cell_angle_beta 90.00
_cell_angle_gamma 90.00
_symmetry_space_group_name_H-M 'P 1'
_symmetry_Int_Tables_number 1
loop_
_symmetry_equiv_pos_as_xyz
'x,y,z'
loop_
_atom_site_label
_atom_site_type_symbol
_atom_site_fract_x
_atom_site_fract_y
_atom_site_fract_z
Ca1 Ca 0.0000 0.0000 0.0000
Y1 Y 0.0000 0.5000 0.5000
Y2 Y 0.5000 0.0000 0.5000
Zr1 Zr 0.5000 0.5000 0.0000
Co1 Co 0.5000 0.5000 0.5000
```

Results
formation energy = 0.05 eV/atom


3.
Ac2Pm3Hg2 | PBE | optimized geometry

```
data_Ac2Pm3Hg2
_chemical_formula_sum 'Ac2 Pm3 Hg2'
_cell_length_a 6.7611
_cell_length_b 6.7611
_cell_length_c 8.6623
_cell_angle_alpha 114.25
_cell_angle_beta 114.25
_cell_angle_gamma 43.09
_symmetry_space_group_name_H-M 'P 1'
_symmetry_Int_Tables_number 1
loop_
_symmetry_equiv_pos_as_xyz
'x,y,z'
loop_
_atom_site_label
_atom_site_type_symbol
_atom_site_fract_x
_atom_site_fract_y
_atom_site_fract_z
Ac1 Ac 0.1364 0.1364 0.2900
Ac2 Ac 0.8636 0.8636 0.7100
Pm1 Pm 0.3679 0.3679 0.0392
Pm2 Pm 0.5000 0.5000 0.5000
Pm3 Pm 0.6321 0.6321 0.9608
Hg1 Hg 0.1448 0.1448 0.7025
Hg2 Hg 0.8552 0.8552 0.2975
```

Results
formation energy = -0.21 eV/atom
distance to the lowest polymorph of the same formula = 0.0 meV/atom


4.
ScTa2Te | PBE | optimized geometry

```
data_ScTa2Te
_chemical_formula_sum 'Sc1 Ta2 Te1'
_cell_length_a 3.5953
_cell_length_b 3.5953
_cell_length_c 6.2044
_cell_angle_alpha 90.00
_cell_angle_beta 90.00
_cell_angle_gamma 90.00
_symmetry_space_group_name_H-M 'P 1'
_symmetry_Int_Tables_number 1
loop_
_symmetry_equiv_pos_as_xyz
'x,y,z'
loop_
_atom_site_label
_atom_site_type_symbol
_atom_site_fract_x
_atom_site_fract_y
_atom_site_fract_z
Sc1 Sc 0.0000 0.0000 0.0000
Ta1 Ta 0.0000 0.0000 0.4804
Ta2 Ta 0.5000 0.5000 0.2626
Te1 Te 0.5000 0.5000 0.7516
```

Results
formation energy without anion corrections = -0.1213 eV/atom
distance to the lowest polymorph of the same formula = 0.0 meV/atom


- Which formula does entry 1 have?
  ZnGaAg2Au


Copy entry 2 word for word.
CaY2ZrCo | PBE | optimized geometry

```
data_CaY2ZrCo
_chemical_formula_sum 'Ca1 Y2 Zr1 Co1'
_cell_length_a 5.4152
_cell_length_b 5.4152
_cell_length_c 4.8651
_cell_angle_alpha 90.00
_cell_angle_beta 90.00
_cell_angle_gamma 90.00
_symmetry_space_group_name_H-M 'P 1'
_symmetry_Int_Tables_number 1
loop_
_symmetry_equiv_pos_as_xyz
'x,y,z'
loop_
_atom_site_label
_atom_site_type_symbol
_atom_site_fract_x
_atom_site_fract_y
_atom_site_fract_z
Ca1 Ca 0.0000 0.0000 0.0000
Y1 Y 0.0000 0.5000 0.5000
Y2 Y 0.5000 0.0000 0.5000
Zr1 Zr 0.5000 0.5000 0.0000
Co1 Co 0.5000 0.5000 0.5000
```

Results
formation energy = 0.05 eV/atom